# 1
A geometry-optimized NbVCuRh structure, computed with PBE.

```
data_NbVCuRh
_cell_length_a 4.365
_cell_length_b 4.365
_cell_length_c 4.365
_cell_angle_alpha 60.00
_cell_angle_beta 60.00
_cell_angle_gamma 60.00
_space_group_name_H-M_alt 'P 1'
_space_group_IT_number 1
loop_
_space_group_symop_operation_xyz
'x,y,z'
loop_
_atom_site_label
_atom_site_fract_x
_atom_site_fract_y
_atom_site_fract_z
Nb1 0.750 0.750 0.750
Cu1 0.250 0.250 0.250
V1 0.500 0.500 0.500
Rh1 0.000 0.000 0.000
```

* energy of formation from the pure elements: -0.079 eV/atom
* uncorrected energy: -7.738 eV/atom

# 2
A geometry-optimized CeTl3Bi2S6 structure, computed with PBE.

```
data_CeTl3Bi2S6
_cell_length_a 7.209
_cell_length_b 7.209
_cell_length_c 7.869
_cell_angle_alpha 98.80
_cell_angle_beta 98.80
_cell_angle_gamma 120.02
_space_group_name_H-M_alt 'P 1'
_space_group_IT_number 1
loop_
_space_group_symop_operation_xyz
'x,y,z'
loop_
_atom_site_label
_atom_site_fract_x
_atom_site_fract_y
_atom_site_fract_z
Bi1 0.666 0.334 0.000
Bi2 0.334 0.666 0.000
S1 0.069 0.401 0.206
S2 0.401 0.069 0.206
S3 0.599 0.931 0.794
S4 0.264 0.264 0.794
S5 0.736 0.736 0.206
S6 0.931 0.599 0.794
Ce1 0.000 0.000 0.000
Tl1 0.832 0.168 0.500
Tl2 0.500 0.500 0.500
Tl3 0.168 0.832 0.500
```

* ΔE_f (raw): -0.7445 eV per atom
* uncorrected energy: -4.541 eV/atom

# 3
A geometry-optimized OsIN2F structure, computed with PBE.

```
data_OsIN2F
_cell_length_a 3.785
_cell_length_b 3.785
_cell_length_c 5.715
_cell_angle_alpha 90.00
_cell_angle_beta 90.00
_cell_angle_gamma 90.00
_space_group_name_H-M_alt 'P 1'
_space_group_IT_number 1
loop_
_space_group_symop_operation_xyz
'x,y,z'
loop_
_atom_site_label
_atom_site_fract_x
_atom_site_fract_y
_atom_site_fract_z
F1 0.500 0.500 0.500
I1 0.000 0.000 0.500
Os1 0.000 0.000 0.000
N1 0.500 0.000 0.000
N2 0.000 0.500 0.000
```

* ΔE_f (raw): 0.4757 eV per atom
* uncorrected energy: -5.785 eV/atom
* energy above the most stable polymorph in this dataset: 0 meV/atom

# 4
A geometry-optimized KBa3Re2N6 structure, computed with PBE.

```
data_KBa3Re2N6
_cell_length_a 6.402
_cell_length_b 6.402
_cell_length_c 7.603
_cell_angle_alpha 90.00
_cell_angle_beta 90.00
_cell_angle_gamma 120.00
_space_group_name_H-M_alt 'P 1'
_space_group_IT_number 1
loop_
_space_group_symop_operation_xyz
'x,y,z'
loop_
_atom_site_label
_atom_site_fract_x
_atom_site_fract_y
_atom_site_fract_z
K1 0.000 0.000 0.500
N1 0.823 0.177 0.741
N2 0.177 0.354 0.259
N3 0.354 0.177 0.741
N4 0.823 0.646 0.741
N5 0.177 0.823 0.259
N6 0.646 0.823 0.259
Re1 0.667 0.333 0.800
Re2 0.333 0.667 0.200
Ba1 0.667 0.333 0.303
Ba2 0.333 0.667 0.697
Ba3 0.000 0.000 0.000
```

* ΔE_f (raw): -0.4491 eV per atom
* uncorrected energy: -7.259 eV/atom

# 5
A geometry-optimized Rb5Pt3 structure, computed with PBE.

```
data_Rb5Pt3
_cell_length_a 7.330
_cell_length_b 7.330
_cell_length_c 5.860
_cell_angle_alpha 90.00
_cell_angle_beta 90.00
_cell_angle_gamma 100.13
_space_group_name_H-M_alt 'P 1'
_space_group_IT_number 1
loop_
_space_group_symop_operation_xyz
'x,y,z'
loop_
_atom_site_label
_atom_site_fract_x
_atom_site_fract_y
_atom_site_fract_z
Rb1 0.000 0.000 0.000
Rb2 0.678 0.678 0.500
Rb3 0.322 0.322 0.500
Rb4 0.000 0.500 0.000
Rb5 0.500 0.000 0.000
Pt1 0.883 0.117 0.500
Pt2 0.500 0.500 0.000
Pt3 0.117 0.883 0.500
```

* energy of formation from the pure elements: 0.180 eV/atom
* uncorrected energy: -2.690 eV/atom
* energy above the most stable polymorph in this dataset: 108 meV/atom

# 6
A geometry-optimized Er2PuS structure, computed with PBE.

```
data_Er2PuS
_cell_length_a 3.580
_cell_length_b 3.580
_cell_length_c 10.168
_cell_angle_alpha 79.86
_cell_angle_beta 79.86
_cell_angle_gamma 60.00
_space_group_name_H-M_alt 'P 1'
_space_group_IT_number 1
loop_
_space_group_symop_operation_xyz
'x,y,z'
loop_
_atom_site_label
_atom_site_fract_x
_atom_site_fract_y
_atom_site_fract_z
Pu1 0.000 0.000 0.000
Er1 0.889 0.889 0.332
Er2 0.111 0.111 0.668
S1 0.500 0.500 0.500
```

* ΔE_f (raw): -0.6168 eV per atom
* uncorrected energy: -7.513 eV/atom

# 7
A geometry-optimized Dy2TmInO structure, computed with PBE.

```
data_Dy2TmInO
_cell_length_a 4.683
_cell_length_b 4.793
_cell_length_c 4.793
_cell_angle_alpha 90.00
_cell_angle_beta 90.00
_cell_angle_gamma 90.00
_space_group_name_H-M_alt 'P 1'
_space_group_IT_number 1
loop_
_space_group_symop_operation_xyz
'x,y,z'
loop_
_atom_site_label
_atom_site_fract_x
_atom_site_fract_y
_atom_site_fract_z
In1 0.500 0.500 0.500
Tm1 0.500 0.000 0.000
O1 0.000 0.000 0.000
Dy1 0.000 0.000 0.500
Dy2 0.000 0.500 0.000
```

* ΔE_f (raw): -1.4189 eV per atom
* uncorrected energy: -5.693 eV/atom

# 8
A geometry-optimized Tb2DyHo5 structure, computed with PBE.

```
data_Tb2DyHo5
_cell_length_a 4.983
_cell_length_b 7.057
_cell_length_c 14.114
_cell_angle_alpha 90.00
_cell_angle_beta 90.00
_cell_angle_gamma 90.00
_space_group_name_H-M_alt 'P 1'
_space_group_IT_number 1
loop_
_space_group_symop_operation_xyz
'x,y,z'
loop_
_atom_site_label
_atom_site_fract_x
_atom_site_fract_y
_atom_site_fract_z
Tb1 0.500 0.250 0.125
Tb2 0.500 0.750 0.875
Tb3 0.500 0.250 0.625
Tb4 0.500 0.750 0.375
Ho1 0.000 0.000 0.000
Ho2 0.000 0.000 0.250
Ho3 0.000 0.500 0.500
Ho4 0.500 0.750 0.125
Ho5 0.500 0.250 0.875
Ho6 0.000 0.500 0.250
Ho7 0.000 0.500 0.750
Ho8 0.500 0.750 0.625
Ho9 0.000 0.000 0.750
Ho10 0.500 0.250 0.375
Dy1 0.000 0.000 0.500
Dy2 0.000 0.500 0.000
```

* energy of formation from the pure elements: 0.016 eV/atom
* uncorrected energy: -4.578 eV/atom
* energy above the most stable polymorph in this dataset: 0 meV/atom

# 9
A geometry-optimized CsRb4H5 structure, computed with PBE.

```
data_CsRb4H5
_cell_length_a 4.280
_cell_length_b 6.086
_cell_length_c 11.367
_cell_angle_alpha 105.53
_cell_angle_beta 100.85
_cell_angle_gamma 90.00
_space_group_name_H-M_alt 'P 1'
_space_group_IT_number 1
loop_
_space_group_symop_operation_xyz
'x,y,z'
loop_
_atom_site_label
_atom_site_fract_x
_atom_site_fract_y
_atom_site_fract_z
H1 0.607 0.107 0.213
H2 0.801 0.301 0.602
H3 0.000 0.500 0.000
H4 0.393 0.893 0.787
H5 0.199 0.699 0.398
Rb1 0.202 0.202 0.404
Rb2 0.602 0.602 0.204
Rb3 0.398 0.398 0.796
Rb4 0.798 0.798 0.596
Cs1 0.000 0.000 0.000
```

* uncorrected energy: -2.317 eV/atom

# 10
A geometry-optimized LiBiRu structure, computed with PBE.

```
data_LiBiRu
_cell_length_a 4.313
_cell_length_b 4.313
_cell_length_c 6.493
_cell_angle_alpha 90.00
_cell_angle_beta 90.00
_cell_angle_gamma 90.00
_space_group_name_H-M_alt 'P 1'
_space_group_IT_number 1
loop_
_space_group_symop_operation_xyz
'x,y,z'
loop_
_atom_site_label
_atom_site_fract_x
_atom_site_fract_y
_atom_site_fract_z
Li1 0.500 0.000 0.225
Li2 0.000 0.500 0.775
Bi1 0.000 0.500 0.244
Bi2 0.500 0.000 0.756
Ru1 0.000 0.000 0.500
Ru2 0.500 0.500 0.500
```

* energy of formation from the pure elements: -0.118 eV/atom
* uncorrected energy: -5.141 eV/atom

# 11
A geometry-optimized BaHoGe2 structure, computed with PBE.

```
data_BaHoGe2
_cell_length_a 4.729
_cell_length_b 4.729
_cell_length_c 6.939
_cell_angle_alpha 70.08
_cell_angle_beta 70.08
_cell_angle_gamma 60.00
_space_group_name_H-M_alt 'P 1'
_space_group_IT_number 1
loop_
_space_group_symop_operation_xyz
'x,y,z'
loop_
_atom_site_label
_atom_site_fract_x
_atom_site_fract_y
_atom_site_fract_z
Ge1 0.278 0.278 0.166
Ge2 0.722 0.722 0.834
Ho1 0.000 0.000 0.000
Ba1 0.500 0.500 0.500
```

* energy of formation from the pure elements: -0.432 eV/atom
* uncorrected energy: -4.366 eV/atom

# 12
A geometry-optimized Ca5AcPb6 structure, computed with PBE.

```
data_Ca5AcPb6
_cell_length_a 5.179
_cell_length_b 9.209
_cell_length_c 9.473
_cell_angle_alpha 119.08
_cell_angle_beta 105.86
_cell_angle_gamma 90.00
_space_group_name_H-M_alt 'P 1'
_space_group_IT_number 1
loop_
_space_group_symop_operation_xyz
'x,y,z'
loop_
_atom_site_label
_atom_site_fract_x
_atom_site_fract_y
_atom_site_fract_z
Pb1 0.830 0.579 0.661
Pb2 0.500 0.745 0.000
Pb3 0.500 0.255 0.000
Pb4 0.170 0.421 0.339
Pb5 0.830 0.082 0.661
Pb6 0.170 0.918 0.339
Ca1 0.334 0.334 0.667
Ca2 0.666 0.666 0.333
Ca3 0.000 0.500 0.000
Ca4 0.328 0.828 0.655
Ca5 0.672 0.172 0.345
Ac1 0.000 0.000 0.000
```

* energy of formation from the pure elements: -0.512 eV/atom
* uncorrected energy: -3.543 eV/atom

Which of these has the highest uncorrected energy? CsRb4H5

Which formula does entry 11 have? BaHoGe2

What is the uncorrected energy in the third record? -5.785 eV/atom